Crystalline Tb6P5S at its relaxed geometry. Source: Alexandria, functional PBE.

Lattice parameters (Å, degrees): 6.9523 12.0350 6.9547 90.00 109.44 90.00
Space group C2/m (No. 12)
Unique sites:
Tb1 0.2473 0.0000 0.2526 x4
Tb2 0.2476 0.1684 0.7480 x8
P1 0.0000 0.0000 0.5000 x2
P2 0.0000 0.1669 0.0000 x4
P3 0.0000 0.3342 0.5000 x4
S1 0.0000 0.5000 0.0000 x2

Summary:
Mass density in g/cm3: 6.9
Electronic total energy in eV/atom: -6.64
Fermi-level density of states in states/eV per cell: 4.78

=====

Crystalline CuHgPd3 at its relaxed geometry. Source: Alexandria, functional PBE.

Lattice parameters (Å, degrees): 4.6244 4.6244 4.6244 90.00 90.00 90.00
Space group Pm-3m (No. 221)
Unique sites:
Cu1 0.0000 0.0000 0.0000 x1
Hg1 0.5000 0.5000 0.5000 x1
Pd1 0.0000 0.0000 0.5000 x3

Summary:
Mass density in g/cm3: 9.8
Energy relative to the lowest polymorph listed for this composition in kJ per mole of atoms: 60.8
Calculated formation energy in kJ/mol of formula units: 257
Electronic total energy in eV/atom: -3.46
Fermi-level density of states in states/eV per cell: 4.14

=====

Crystalline Dy2HoPaSb4 at its relaxed geometry. Source: Alexandria, functional PBE.

Lattice parameters (Å, degrees): 7.5733 4.3734 7.5781 90.00 109.37 90.00
Space group P2/m (No. 10)
Unique sites:
Dy1 0.0000 0.0000 0.0000 x1
Dy2 0.5000 0.5000 0.0000 x1
Ho1 0.0000 0.5000 0.5000 x1
Pa1 0.5000 0.0000 0.5000 x1
Sb1 0.2491 0.5000 0.2499 x2
Sb2 0.2499 0.0000 0.7485 x2

Summary:
Mass density in g/cm3: 8.5
Electronic total energy in eV/atom: -5.92
Fermi-level density of states in states/eV per cell: 6.47